PBE-GGA GeHF3, optimized geometry; M_tot = 0.00 μB/f.u.; energy relative to the lowest polymorph listed for this composition = 2.53 eV per formula unit
1.0
3.580 0.000 0.000
0.000 3.580 0.000
0.000 0.000 3.580
Ge H F
1 1 3
direct
0.000 0.000 0.000 Ge
0.500 0.500 0.500 H
0.000 0.500 0.500 F
0.500 0.000 0.500 F
0.500 0.500 0.000 F